No. 1
Sm5Ho2Er3: relaxed, GGA-PBE. Values from VASP.

Results
DFT formation energy	0.193	eV per atom
density of states at the Fermi level	18.1	states/eV/f.u.
space-group type	C2/c (15)
energy relative to the lowest polymorph listed for this composition	0.0000	eV/atom

Geometry as Quantum ESPRESSO input:
```
&SYSTEM
  ibrav = 0, nat = 20, ntyp = 3
/
ATOMIC_SPECIES
Sm 150.36 Sm.upf
Ho 164.93 Ho.upf
Er 167.26 Er.upf
ATOMIC_POSITIONS angstrom
Sm 2.511 5.016 -2.789
Sm 4.515 3.309 5.182
Sm -0.573 5.544 2.491
Sm 3.487 2.073 2.476
Sm 7.599 2.781 -0.098
Sm 3.540 6.252 -0.083
Sm 6.436 5.567 1.836
Sm 0.591 2.758 0.557
Sm 1.704 -0.019 6.186
Sm 5.322 8.344 -3.792
Ho 5.136 -0.001 4.800
Ho 1.890 8.326 -2.407
Ho 2.963 5.499 3.114
Ho 4.064 2.826 -0.721
Er 0.421 6.738 5.106
Er 6.605 1.587 -2.713
Er 5.893 4.962 -2.328
Er 1.134 3.363 4.722
Er 0.097 6.232 -0.705
Er 6.930 2.093 3.098
CELL_PARAMETERS angstrom
8.612 1.881 -4.132
0.460 8.784 -4.187
-2.045 -2.339 10.712
```

No. 2
Sm4Ho9Er11: relaxed, GGA-PBE. Values from VASP.

Results
DFT formation energy	0.055	eV per atom
density of states at the Fermi level	29.8	states/eV/f.u.
space-group type	Cmmm (65)

Geometry as Quantum ESPRESSO input:
```
&SYSTEM
  ibrav = 0, nat = 24, ntyp = 3
/
ATOMIC_SPECIES
Sm 150.36 Sm.upf
Ho 164.93 Ho.upf
Er 167.26 Er.upf
ATOMIC_POSITIONS angstrom
Sm 1.829 7.666 8.061
Sm 1.829 6.157 1.064
Sm 1.829 10.426 3.881
Sm 1.829 3.398 5.244
Ho 1.829 8.734 -1.262
Ho 1.829 5.089 10.388
Ho 1.829 2.272 8.528
Ho 1.829 11.552 0.598
Ho 1.829 10.894 9.365
Ho 1.829 2.930 -0.240
Ho 1.829 12.893 6.337
Ho 1.829 0.930 2.788
Ho 1.829 6.912 4.563
Er 0.000 8.212 10.832
Er 0.000 5.611 -1.707
Er 0.000 13.188 3.295
Er 0.000 0.635 5.831
Er 0.000 8.765 1.756
Er 0.000 5.059 7.369
Er 0.000 11.588 -2.521
Er 0.000 2.236 11.646
Er 0.000 0.000 0.000
Er 0.000 9.836 6.493
Er 0.000 3.988 2.632
CELL_PARAMETERS angstrom
3.657 0.000 0.000
0.000 13.774 -5.833
0.000 0.049 14.959
```

No. 3
Sm4Ho4Er5: relaxed, GGA-PBE. Values from VASP.

Results
DFT formation energy	0.020	eV per atom
density of states at the Fermi level	18.0	states/eV/f.u.
space-group type	I4/m (87)

Geometry as Quantum ESPRESSO input:
```
&SYSTEM
  ibrav = 0, nat = 13, ntyp = 3
/
ATOMIC_SPECIES
Sm 150.36 Sm.upf
Ho 164.93 Ho.upf
Er 167.26 Er.upf
ATOMIC_POSITIONS angstrom
Sm 2.293 6.456 8.153
Sm 1.508 4.280 5.431
Sm 4.158 2.856 3.505
Sm 4.944 5.033 6.227
Ho 2.225 0.804 5.651
Ho 4.226 8.508 6.006
Ho 6.400 3.678 9.159
Ho 0.051 5.635 2.498
Er 5.707 7.187 8.944
Er 0.745 2.125 2.713
Er 0.000 0.000 0.000
Er 5.644 1.529 6.444
Er 0.807 7.784 5.214
CELL_PARAMETERS angstrom
-1.144 0.073 4.870
8.245 0.147 4.505
-0.650 9.093 2.282
```

No. 4
Sm12Ho7Er: relaxed, GGA-PBE. Values from VASP.

Results
DFT formation energy	0.282	eV per atom
density of states at the Fermi level	22.0	states/eV/f.u.
space-group type	R-3 (148)
energy relative to the lowest polymorph listed for this composition	0.0320	eV/atom

Geometry as Quantum ESPRESSO input:
```
&SYSTEM
  ibrav = 0, nat = 20, ntyp = 3
/
ATOMIC_SPECIES
Sm 150.36 Sm.upf
Ho 164.93 Ho.upf
Er 167.26 Er.upf
ATOMIC_POSITIONS angstrom
Sm 5.536 1.291 6.989
Sm 5.677 2.892 2.809
Sm 3.213 0.733 4.188
Sm 5.568 4.557 6.090
Sm 1.199 0.182 6.857
Sm 2.830 3.072 8.451
Sm 2.548 4.083 2.289
Sm 4.178 6.973 3.883
Sm -0.190 2.598 4.650
Sm 2.164 6.423 6.552
Sm -0.299 4.263 7.931
Sm -0.158 5.864 3.751
Ho 5.263 4.159 10.057
Ho 2.846 0.267 1.133
Ho -0.535 -0.036 3.028
Ho 2.689 3.578 5.370
Ho 5.913 7.191 7.712
Ho 2.532 6.889 9.607
Ho 0.114 2.996 0.683
Er 0.000 0.000 0.000
CELL_PARAMETERS angstrom
8.652 0.800 1.201
-1.637 8.533 1.201
-1.637 -2.178 8.337
```

No. 5
SmHo2Er7: relaxed, GGA-PBE. Values from VASP.

Results
DFT formation energy	0.712	eV per atom
density of states at the Fermi level	15.2	states/eV/f.u.
space-group type	Cmmm (65)
energy relative to the lowest polymorph listed for this composition	0.6633	eV/atom

Geometry as Quantum ESPRESSO input:
```
&SYSTEM
  ibrav = 0, nat = 10, ntyp = 3
/
ATOMIC_SPECIES
Sm 150.36 Sm.upf
Ho 164.93 Ho.upf
Er 167.26 Er.upf
ATOMIC_POSITIONS angstrom
Sm 0.000 0.000 0.000
Ho 2.727 5.082 1.961
Ho 2.727 -0.543 5.420
Er 0.000 6.323 1.197
Er 0.000 -1.784 6.184
Er 2.727 -0.774 2.274
Er 2.727 5.313 5.106
Er 2.727 2.379 0.335
Er 2.727 2.160 7.046
Er 2.727 2.270 3.690
CELL_PARAMETERS angstrom
5.454 0.000 0.000
0.000 9.215 -0.581
0.000 -4.676 7.962
```

No. 6
Sm15Ho4Er: relaxed, GGA-PBE. Values from VASP.

Results
DFT formation energy	0.015	eV per atom
density of states at the Fermi level	27.0	states/eV/f.u.
space-group type	P4/mmm (123)

Geometry as Quantum ESPRESSO input:
```
&SYSTEM
  ibrav = 0, nat = 20, ntyp = 3
/
ATOMIC_SPECIES
Sm 150.36 Sm.upf
Ho 164.93 Ho.upf
Er 167.26 Er.upf
ATOMIC_POSITIONS angstrom
Sm 2.548 2.548 0.000
Sm 2.548 2.548 5.080
Sm 2.548 2.548 10.163
Sm 2.548 2.548 15.241
Sm 2.548 2.548 20.324
Sm 2.548 0.000 2.537
Sm 2.548 0.000 7.623
Sm 2.548 0.000 12.702
Sm 2.548 0.000 17.781
Sm 2.548 0.000 22.866
Sm 0.000 2.548 2.537
Sm 0.000 2.548 7.623
Sm 0.000 2.548 12.702
Sm 0.000 2.548 17.781
Sm 0.000 2.548 22.866
Ho 0.000 0.000 5.080
Ho 0.000 0.000 10.162
Ho 0.000 0.000 15.241
Ho 0.000 0.000 20.324
Er 0.000 0.000 0.000
CELL_PARAMETERS angstrom
5.096 0.000 0.000
0.000 5.096 0.000
0.000 0.000 25.404
```

No. 7
Sm8Ho3Er: relaxed, GGA-PBE. Values from VASP.

Results
DFT formation energy	0.121	eV per atom
density of states at the Fermi level	24.8	states/eV/f.u.
space-group type	C2/m (12)

Geometry as Quantum ESPRESSO input:
```
&SYSTEM
  ibrav = 0, nat = 12, ntyp = 3
/
ATOMIC_SPECIES
Sm 150.36 Sm.upf
Ho 164.93 Ho.upf
Er 167.26 Er.upf
ATOMIC_POSITIONS angstrom
Sm 0.000 0.393 3.439
Sm 5.964 2.928 -2.346
Sm 2.964 -3.888 7.033
Sm 8.964 -3.888 7.033
Sm 5.964 0.374 3.464
Sm 0.000 2.946 -2.371
Sm -3.000 7.209 -5.940
Sm 3.000 7.209 -5.940
Ho 5.964 0.000 0.000
Ho 2.982 4.275 -3.578
Ho -2.982 4.275 -3.578
Er 0.000 0.000 0.000
CELL_PARAMETERS angstrom
11.928 0.000 0.000
-5.964 8.551 -7.157
0.000 -5.230 8.250
```

No. 8
Sm2HoEr: relaxed, GGA-PBE. Values from VASP.

Results
DFT formation energy	0.016	eV per atom
density of states at the Fermi level	4.7	states/eV/f.u.
space-group type	R-3m (166)
energy relative to the lowest polymorph listed for this composition	0.0049	eV/atom

Geometry as Quantum ESPRESSO input:
```
&SYSTEM
  ibrav = 0, nat = 4, ntyp = 3
/
ATOMIC_SPECIES
Ho 164.93 Ho.upf
Sm 150.36 Sm.upf
Er 167.26 Er.upf
ATOMIC_POSITIONS angstrom
Ho 0.000 0.000 0.000
Sm 5.361 3.095 8.690
Sm 1.787 1.032 2.906
Er 3.574 2.063 5.798
CELL_PARAMETERS angstrom
3.574 0.000 0.000
1.787 3.095 0.000
1.787 1.032 11.596
```

No. 9
Sm5Ho3Er2: relaxed, GGA-PBE. Values from VASP.

Results
DFT formation energy	0.192	eV per atom
density of states at the Fermi level	17.9	states/eV/f.u.
space-group type	C2/c (15)
energy relative to the lowest polymorph listed for this composition	0.0000	eV/atom

Geometry as Quantum ESPRESSO input:
```
&SYSTEM
  ibrav = 0, nat = 20, ntyp = 3
/
ATOMIC_SPECIES
Sm 150.36 Sm.upf
Ho 164.93 Ho.upf
Er 167.26 Er.upf
ATOMIC_POSITIONS angstrom
Sm -1.449 -5.391 2.845
Sm -6.489 1.271 3.830
Sm -0.907 -0.172 6.043
Sm -4.340 -0.070 1.954
Sm -7.030 -3.948 0.632
Sm -3.598 -4.050 4.721
Sm -6.978 -3.190 4.143
Sm -0.960 -0.930 2.532
Sm -4.121 4.559 1.877
Sm -3.817 -8.679 4.798
Ho -2.977 1.120 7.850
Ho -4.960 -5.240 -1.175
Ho -4.707 -6.158 2.177
Ho -3.230 2.038 4.498
Ho -0.231 -3.350 5.296
Ho -7.706 -0.770 1.379
Er -6.655 2.192 0.574
Er -1.283 -6.312 6.101
Er -4.369 -0.869 5.380
Er -3.568 -3.251 1.295
CELL_PARAMETERS angstrom
-6.201 -7.243 -1.926
0.732 -7.490 6.192
-2.468 10.613 2.409
```

No. 10
SmHo12Er7: relaxed, GGA-PBE. Values from VASP.

Results
DFT formation energy	0.730	eV per atom
density of states at the Fermi level	24.2	states/eV/f.u.
space-group type	Im-3m (229)

Geometry as Quantum ESPRESSO input:
```
&SYSTEM
  ibrav = 0, nat = 20, ntyp = 3
/
ATOMIC_SPECIES
Sm 150.36 Sm.upf
Ho 164.93 Ho.upf
Er 167.26 Er.upf
ATOMIC_POSITIONS angstrom
Sm 0.000 0.000 0.000
Ho 4.836 -4.378 -2.007
Ho 6.740 -0.228 1.049
Ho 0.551 -1.237 -3.810
Ho -1.353 -5.386 -6.865
Ho 6.704 1.080 -5.645
Ho 1.651 -4.915 -4.438
Ho -1.317 -6.695 -0.172
Ho 3.736 -0.700 -1.378
Ho 4.182 -1.827 -5.075
Ho 1.205 -3.787 -0.742
Ho -0.030 1.302 -6.700
Ho 5.418 -6.917 0.883
Er 3.030 1.817 -4.356
Er 4.301 -3.195 1.659
Er -1.944 -4.237 -3.120
Er 2.694 -2.807 -2.908
Er -0.336 -4.624 1.448
Er -1.607 0.388 -4.567
Er 4.637 1.429 0.211
CELL_PARAMETERS angstrom
-3.215 0.775 -9.135
9.275 2.859 0.423
-0.673 -9.249 2.896
```

No. 11
Sm3Ho2Er2: relaxed, GGA-PBE. Values from VASP.

Results
DFT formation energy	0.114	eV per atom
density of states at the Fermi level	10.9	states/eV/f.u.
space-group type	C2/m (12)
energy relative to the lowest polymorph listed for this composition	0.0948	eV/atom

Geometry as Quantum ESPRESSO input:
```
&SYSTEM
  ibrav = 0, nat = 7, ntyp = 3
/
ATOMIC_SPECIES
Sm 150.36 Sm.upf
Ho 164.93 Ho.upf
Er 167.26 Er.upf
ATOMIC_POSITIONS angstrom
Sm -1.918 -0.720 3.729
Sm -2.220 2.332 5.025
Sm -1.185 4.597 -0.544
Ho -4.794 -0.076 5.730
Ho 1.390 7.005 -1.249
Er -2.741 5.015 2.706
Er -0.664 1.914 1.775
CELL_PARAMETERS angstrom
-3.125 0.346 -1.540
-3.836 -1.440 7.458
3.556 8.023 -1.436
```

No. 12
SmHo6Er3: relaxed, GGA-PBE. Values from VASP.

Results
DFT formation energy	0.125	eV per atom
density of states at the Fermi level	14.6	states/eV/f.u.
space-group type	Cmc2_1 (36)
energy relative to the lowest polymorph listed for this composition	0.0000	eV/atom

Geometry as Quantum ESPRESSO input:
```
&SYSTEM
  ibrav = 0, nat = 20, ntyp = 3
/
ATOMIC_SPECIES
Sm 150.36 Sm.upf
Ho 164.93 Ho.upf
Er 167.26 Er.upf
ATOMIC_POSITIONS angstrom
Sm 2.473 -5.917 5.580
Sm -6.920 -3.152 -4.993
Ho -2.051 -6.118 -1.556
Ho -3.623 -6.265 2.139
Ho -0.724 -6.947 4.251
Ho -7.771 -5.055 -2.044
Ho -7.286 -2.727 -8.245
Ho -3.157 -4.957 5.499
Ho -4.320 -3.792 -3.186
Ho -0.486 -5.991 10.725
Ho -0.167 -3.646 4.619
Ho -7.214 -1.754 -1.675
Ho -1.480 -2.735 -1.179
Ho -3.052 -2.882 2.516
Er -5.227 -7.036 -1.618
Er -5.479 -7.674 4.485
Er -0.521 -4.927 1.237
Er -4.861 -4.043 -0.117
Er -4.435 -1.484 5.175
Er -4.182 -0.845 -0.928
CELL_PARAMETERS angstrom
-5.483 0.577 3.123
-5.710 -2.853 -9.498
4.129 -6.517 8.453
```

| no. | uncorrected energy (eV/atom) |
| --- | --- |
| 1 | -4.45 |
| 2 | -4.54 |
| 3 | -4.60 |
| 4 | -4.38 |
| 5 | -3.87 |
| 6 | -4.67 |
| 7 | -4.55 |
| 8 | -4.63 |
| 9 | -4.45 |
| 10 | -3.85 |
| 11 | -4.52 |
| 12 | -4.46 |